# 1
A plane-wave DFT calculation with PBE-GGA was carried out for LaHfTiTl2 after structural relaxation.

The space group is P4/mmm (No. 123) and the conventional cell measures 5.569, 5.569 and 4.787 Å, with angles of 90.00, 90.00 and 90.00 degrees. The asymmetric unit holds La at (0.000, 0.000, 0.000), Hf at (0.500, 0.500, 0.500), Ti at (0.500, 0.500, 0.000) and Tl at (0.000, 0.500, 0.500).

The volume comes out at 29.69 A^3/atom. The value obtained for the energy relative to the elements is 0.45 eV per atom. Its crystal system is tetragonal.



# 2
A plane-wave DFT calculation with PBE-GGA was carried out for KBe2Pt after structural relaxation.

The space group is Imm2 (No. 44) and the conventional cell measures 2.749, 5.179 and 9.524 Å, with angles of 90.00, 90.00 and 90.00 degrees. The asymmetric unit holds K at (0.000, 0.000, 0.000), Be at (0.000, 0.000, 0.511), Be at (0.000, 0.500, 0.808) and Pt at (0.000, 0.500, 0.194).

The volume comes out at 16.95 A^3/atom. The value obtained for the energy relative to the elements is 0.43 eV per atom. Its crystal system is orthorhombic. For the energy above the most stable polymorph in this dataset, the calculation gives 68.7 kJ/mol of atoms.



# 3
A plane-wave DFT calculation with PBE-GGA was carried out for U2SiPt after structural relaxation.

The space group is P4/mmm (No. 123) and the conventional cell measures 3.710, 3.710 and 5.714 Å, with angles of 90.00, 90.00 and 90.00 degrees. The asymmetric unit holds U at (0.000, 0.000, 0.212), Si at (0.500, 0.500, 0.000) and Pt at (0.500, 0.500, 0.500).

The value obtained for the uncorrected formation energy is -10.280 kcal/mol of atoms. The volume comes out at 19.66 A^3/atom. Its crystal system is tetragonal.



# 4
A plane-wave DFT calculation with PBE-GGA was carried out for BaB2Os after structural relaxation.

The space group is Fm-3m (No. 225) and the conventional cell measures 6.361, 6.361 and 6.361 Å, with angles of 90.00, 90.00 and 90.00 degrees. The asymmetric unit holds Ba at (0.000, 0.000, 0.000), B at (0.250, 0.250, 0.250) and Os at (0.000, 0.000, 0.500).

The volume comes out at 16.09 A^3/atom. The value obtained for the energy relative to the elements is 1.74 eV per atom. Its crystal system is cubic. For the energy above the most stable polymorph in this dataset, the calculation gives 167.2 kJ/mol of atoms.



# 5
A plane-wave DFT calculation with PBE-GGA was carried out for RbAgTeCl6 after structural relaxation.

The space group is P312 (No. 149) and the conventional cell measures 7.0892, 7.0892 and 7.1307 Å, with angles of 90.00, 90.00 and 120.00 degrees. The asymmetric unit holds Rb at (0.0000, 0.0000, 0.0000), Ag at (0.6667, 0.3333, 0.5000), Te at (0.3333, 0.6667, 0.5000) and Cl at (0.0225, 0.3840, 0.2922).

The value obtained for the uncorrected formation energy is -20.616 kcal/mol of atoms. The volume comes out at 34.49 A^3/atom. Its crystal system is trigonal.



# 6
A plane-wave DFT calculation with PBE-GGA was carried out for NbV2IrS after structural relaxation.

The space group is P4/mmm (No. 123) and the conventional cell measures 4.263, 4.263 and 4.383 Å, with angles of 90.00, 90.00 and 90.00 degrees. The asymmetric unit holds Nb at (0.000, 0.000, 0.000), V at (0.000, 0.500, 0.500), Ir at (0.500, 0.500, 0.000) and S at (0.500, 0.500, 0.500).

The value obtained for the uncorrected formation energy is 3.043 kcal/mol of atoms. The volume comes out at 15.93 A^3/atom. Its crystal system is tetragonal.



# 7
A plane-wave DFT calculation with PBE-GGA was carried out for Ru2PbF after structural relaxation.

The space group is Fm-3m (No. 225) and the conventional cell measures 6.391, 6.391 and 6.391 Å, with angles of 90.00, 90.00 and 90.00 degrees. The asymmetric unit holds Ru at (0.250, 0.250, 0.250), Pb at (0.000, 0.000, 0.000) and F at (0.000, 0.000, 0.500).

The value obtained for the uncorrected formation energy is 11.080 kcal/mol of atoms. The volume comes out at 16.32 A^3/atom. Its crystal system is cubic. For the energy above the most stable polymorph in this dataset, the calculation gives 36.3 kJ/mol of atoms.



# 8
A plane-wave DFT calculation with PBE-GGA was carried out for NaCoSi2 after structural relaxation.

The space group is Fm-3m (No. 225) and the conventional cell measures 5.983, 5.983 and 5.983 Å, with angles of 90.00, 90.00 and 90.00 degrees. The asymmetric unit holds Na at (0.000, 0.000, 0.000), Co at (0.000, 0.000, 0.500) and Si at (0.250, 0.250, 0.250).

The value obtained for the uncorrected formation energy is 5.944 kcal/mol of atoms. The volume comes out at 13.39 A^3/atom. Its crystal system is cubic. For the energy above the most stable polymorph in this dataset, the calculation gives 16.0 kJ/mol of atoms.



# 9
A plane-wave DFT calculation with PBE-GGA was carried out for LiGaC after structural relaxation.

The space group is P1 (No. 1) and the conventional cell measures 4.381, 4.389 and 5.712 Å, with angles of 73.18, 68.65 and 60.86 degrees. The asymmetric unit holds Li at (0.000, 0.000, 0.000), Li at (0.123, 0.213, 0.318), Ga at (0.294, 0.475, 0.648), Ga at (0.646, 0.812, 0.612), C at (0.549, 0.809, 0.091) and C at (0.857, 0.572, 0.991).

The volume comes out at 14.75 A^3/atom. The value obtained for the energy relative to the elements is 0.20 eV per atom. Its crystal system is triclinic.



# 10
A plane-wave DFT calculation with PBE-GGA was carried out for Pr2TlFe after structural relaxation.

The space group is P4/mmm (No. 123) and the conventional cell measures 3.644, 3.644 and 8.027 Å, with angles of 90.00, 90.00 and 90.00 degrees. The asymmetric unit holds Pr at (0.000, 0.000, 0.214), Tl at (0.500, 0.500, 0.500) and Fe at (0.500, 0.500, 0.000).

The volume comes out at 26.64 A^3/atom. The value obtained for the energy relative to the elements is -0.01 eV per atom. Its crystal system is tetragonal.



# 11
A plane-wave DFT calculation with PBE-GGA was carried out for Mg2CuMo after structural relaxation.

The space group is F-43m (No. 216) and the conventional cell measures 6.451, 6.451 and 6.451 Å, with angles of 90.00, 90.00 and 90.00 degrees. The asymmetric unit holds Mg at (0.000, 0.000, 0.000), Mg at (0.250, 0.250, 0.250), Cu at (0.000, 0.000, 0.500) and Mo at (0.250, 0.250, 0.750).

The volume comes out at 16.78 A^3/atom. The value obtained for the energy relative to the elements is 0.41 eV per atom. Its crystal system is cubic. For the energy above the most stable polymorph in this dataset, the calculation gives 24.7 kJ/mol of atoms.



# 12
A plane-wave DFT calculation with PBE-GGA was carried out for HgPtW2 after structural relaxation.

The space group is Cmmm (No. 65) and the conventional cell measures 5.552, 8.712 and 2.772 Å, with angles of 90.00, 90.00 and 90.00 degrees. The asymmetric unit holds Hg at (0.000, 0.000, 0.000), Pt at (0.000, 0.500, 0.000) and W at (0.250, 0.250, 0.500).

The volume comes out at 16.76 A^3/atom. The value obtained for the energy relative to the elements is 0.46 eV per atom. Its crystal system is orthorhombic.